# HoPaNiO6, relaxed, DFT GGA+U
data_HoPaNiO6
_chemical_formula_sum 'Ho1 Pa1 Ni1 O6'
_symmetry_space_group_name_H-M 'P 1'
_symmetry_Int_Tables_number 1
_symmetry_space_group_name_Hall 'P 1'
_cell_length_a 4.8035
_cell_length_b 5.3542
_cell_length_c 5.3542
_cell_angle_alpha 120.00
_cell_angle_beta 90.00
_cell_angle_gamma 90.00
loop_
_atom_site_label
_atom_site_type_symbol
_atom_site_fract_x
_atom_site_fract_y
_atom_site_fract_z
Ho1 Ho 0.5000 0.0000 0.0000
Pa1 Pa 0.0000 0.3333 0.6667
Ni1 Ni 0.5000 0.6667 0.3333
O1 O 0.7374 0.6481 0.6338
O2 O 0.7374 0.3662 0.0143
O3 O 0.7374 0.9857 0.3519
O4 O 0.2626 0.3662 0.3519
O5 O 0.2626 0.6481 0.0143
O6 O 0.2626 0.9857 0.6338
# Theoretical density (g/cm3): 7.7
# Space-group type: P312 (149)
# Electronic total energy (eV/atom): -7.5199